No. 1
CaRh2O4 | PBE | optimized geometry

Output
ΔE_f (raw): -9.8 eV per formula unit
M_tot: 0.0 μB per formula unit

Geometry as CIF:
```
data_CaRh2O4
_space_group_name_H-M_alt 'P n m a'
_space_group_IT_number 62
_cell_length_a 9.134
_cell_length_b 3.163
_cell_length_c 10.912
_cell_angle_alpha 90.00
_cell_angle_beta 90.00
_cell_angle_gamma 90.00
loop_
_space_group_symop_operation_xyz
'x,y,z'
'-x,-y,-z'
'-x+1/2,-y,z+1/2'
'x+1/2,y,-z+1/2'
'x+1/2,-y+1/2,-z+1/2'
'-x+1/2,y+1/2,z+1/2'
'-x,y+1/2,-z'
'x,-y+1/2,z'
loop_
_atom_site_label
_atom_site_fract_x
_atom_site_fract_y
_atom_site_fract_z
_atom_site_occupancy
Ca1 0.234 0.250 0.161 1
Rh1 0.052 0.250 0.383 1
Rh2 0.092 0.250 0.902 1
O1 0.047 0.750 0.787 1
O2 0.088 0.250 0.572 1
O3 0.118 0.750 0.028 1
O4 0.192 0.750 0.332 1
```

No. 2
Ca2RhO | PBE | optimized geometry

Output
ΔE_f (raw): -4.6 eV per formula unit
M_tot: 0.0 μB per formula unit

Geometry as CIF:
```
data_Ca2RhO
_space_group_name_H-M_alt 'I -4 2 d'
_space_group_IT_number 122
_space_group_name_Hall 'I -4 2bw'
_cell_length_a 6.537
_cell_length_b 6.537
_cell_length_c 7.921
_cell_angle_alpha 90.00
_cell_angle_beta 90.00
_cell_angle_gamma 90.00
loop_
_atom_site_label
_atom_site_fract_x
_atom_site_fract_y
_atom_site_fract_z
_atom_site_occupancy
Ca1 0.173 0.250 0.125 1
Rh1 0.000 0.000 0.500 1
O1 0.000 0.000 0.000 1
```